A relaxed structure of SmYCr2O8, computed with GGA+U.

Lattice parameters (Å, degrees): 6.054 6.054 6.054 105.93 105.93 116.81
Last column: magnetic moment on the atom in μB.
Sites, in units of the cell vectors:
Sm: 0.250 0.750 0.500  0.02
Y: 0.000 0.000 0.000  0.02
Cr: 0.750 0.250 0.500  1.09
Cr: 0.500 0.500 0.000  1.10
O: 0.395 0.079 0.316  -0.03
O: 0.326 0.506 0.181  -0.03
O: 0.326 0.145 0.819  -0.03
O: 0.764 0.079 0.684  -0.03
O: 0.855 0.674 0.181  -0.03
O: 0.921 0.236 0.316  -0.03
O: 0.921 0.605 0.684  -0.03
O: 0.494 0.674 0.819  -0.03

Values from the calculation:
Total magnetic moment ... 2.00 μB/f.u.
Theoretical density ... 4.6 g/cm3
Density of states at the Fermi level ... 0.093 states/eV per atom
Final energy ... -7.795 eV per atom